First-principles (GGA+U) data for a geometry-optimized Sr2SbMoO6 structure, as listed in Alexandria via LeMat-Bulk.

Summary:
Symmetry ... P2_1/c
Density ... 5.58 g cm⁻³
Total energy ... -130.55 eV per cell
Spin magnetization ... 2.00 Bohr magnetons per cell

abc: 5.8315 5.9672 10.1483
angles: 90.00 124.48 90.00
Last column: nearest neighbours and their distance in Å.
Element x y z (fractional)
Sr (0.2420, 0.0460, 0.2485)  4 O 2.50-2.60
Sr (0.2420, 0.4540, 0.7485)  4 O 2.50-2.60
Sr (0.7580, 0.5460, 0.2515)  4 O 2.50-2.60
Sr (0.7580, 0.9540, 0.7515)  4 O 2.50-2.60
Sb (0.5000, 0.0000, 0.0000)  6 O 2.26-2.34
Sb (0.5000, 0.5000, 0.5000)  6 O 2.26-2.34
Mo (0.0000, 0.0000, 0.5000)  6 O 1.96-2.06
Mo (0.0000, 0.5000, 0.0000)  6 O 1.96-2.06
O (0.1412, 0.2157, 0.9525)  1 Mo 2.06, 1 Sb 2.26
O (0.1412, 0.2843, 0.4525)  1 Mo 2.06, 1 Sb 2.26
O (0.2343, 0.6816, 0.9595)  1 Mo 1.96
O (0.2343, 0.8184, 0.4595)  1 Mo 1.96
O (0.3219, 0.0284, 0.7367)  1 Mo 2.05, 1 Sb 2.26
O (0.3219, 0.4716, 0.2367)  1 Mo 2.05, 1 Sb 2.26
O (0.6781, 0.5284, 0.7633)  1 Mo 2.05, 1 Sb 2.26
O (0.6781, 0.9716, 0.2633)  1 Mo 2.05, 1 Sb 2.26
O (0.7657, 0.1816, 0.5405)  1 Mo 1.96
O (0.7657, 0.3184, 0.0405)  1 Mo 1.96
O (0.8588, 0.7157, 0.5475)  1 Mo 2.06, 1 Sb 2.26
O (0.8588, 0.7843, 0.0475)  1 Mo 2.06, 1 Sb 2.26